Entry 1:
A geometry-optimized NdAgS2 structure, computed with GGA-PBE.

a = 6.9710 Å, b = 7.2090 Å, c = 7.1995 Å
α = 90.00°, β = 101.84°, γ = 90.00°
Space group P2_1/c (No. 14)
One atom of each set of equivalent atoms:
1 Nd 0.2024 0.0554 0.2976 (multiplicity 4)
2 Ag 0.3198 0.5830 0.3610 (multiplicity 4)
3 S 0.0695 0.7382 0.5096 (multiplicity 4)
4 S 0.4274 0.1579 0.6655 (multiplicity 4)

## Properties
The value obtained for the uncorrected formation energy is -1.302 eV/atom.


Entry 2:
A geometry-optimized KTePd4 structure, computed with GGA-PBE.

a = 7.4017 Å, b = 4.4449 Å, c = 8.6530 Å
α = 90.00°, β = 90.00°, γ = 90.00°
Space group Pmma (No. 51)
One atom of each set of equivalent atoms:
1 K 0.2500 0.0000 0.1406 (multiplicity 2)
2 Te 0.2500 0.0000 0.7307 (multiplicity 2)
3 Pd 0.0000 0.0000 0.5000 (multiplicity 2)
4 Pd 0.0593 0.5000 0.7127 (multiplicity 4)
5 Pd 0.2500 0.5000 0.4383 (multiplicity 2)

## Properties
The value obtained for the uncorrected formation energy is -0.144 eV/atom.


Entry 3:
A geometry-optimized Ac12PmY7 structure, computed with GGA-PBE.

a = 20.6688 Å, b = 20.6688 Å, c = 7.1207 Å
α = 90.00°, β = 90.00°, γ = 120.00°
Space group R-3 (No. 148, hexagonal axes)
One atom of each set of equivalent atoms:
1 Ac 0.0003 0.1792 0.3561 (multiplicity 18)
2 Ac 0.0155 0.5606 0.7216 (multiplicity 18)
3 Pm 0.0000 0.0000 0.0000 (multiplicity 3)
4 Y 0.0000 0.0000 0.5000 (multiplicity 3)
5 Y 0.0234 0.1605 0.8575 (multiplicity 18)

## Properties
Its formation energy is 6.189 eV/f.u.


Entry 4:
A geometry-optimized Tb3PmCu2 structure, computed with GGA-PBE.

a = 3.5108 Å, b = 3.5108 Å, c = 12.2142 Å
α = 90.00°, β = 90.00°, γ = 90.00°
Space group P4/mmm (No. 123)
One atom of each set of equivalent atoms:
1 Tb 0.0000 0.0000 0.0000 (multiplicity 1)
2 Tb 0.0000 0.0000 0.2805 (multiplicity 2)
3 Pm 0.5000 0.5000 0.5000 (multiplicity 1)
4 Cu 0.5000 0.5000 0.1427 (multiplicity 2)

## Properties
Its formation energy is -0.875 eV/f.u.


Entry 5:
A geometry-optimized TaBe2In structure, computed with GGA-PBE.

a = 3.6101 Å, b = 3.6101 Å, c = 8.9997 Å
α = 90.00°, β = 90.00°, γ = 90.00°
Space group I-4m2 (No. 119)
One atom of each set of equivalent atoms:
1 Ta 0.0000 0.0000 0.0000 (multiplicity 2)
2 Be 0.0000 0.0000 0.5000 (multiplicity 2)
3 Be 0.0000 0.5000 0.7500 (multiplicity 2)
4 In 0.0000 0.5000 0.2500 (multiplicity 2)

## Properties
Its formation energy is 1.325 eV/f.u.


Entry 6:
A geometry-optimized Pr2Ga4HgAu3 structure, computed with GGA-PBE.

a = 4.4828 Å, b = 4.4828 Å, c = 10.6542 Å
α = 90.00°, β = 90.00°, γ = 90.00°
Space group P-4m2 (No. 115)
One atom of each set of equivalent atoms:
1 Pr 0.0000 0.5000 0.2477 (multiplicity 2)
2 Ga 0.0000 0.0000 0.0000 (multiplicity 1)
3 Ga 0.0000 0.5000 0.6409 (multiplicity 2)
4 Ga 0.5000 0.5000 0.0000 (multiplicity 1)
5 Hg 0.0000 0.0000 0.5000 (multiplicity 1)
6 Au 0.0000 0.5000 0.8754 (multiplicity 2)
7 Au 0.5000 0.5000 0.5000 (multiplicity 1)

## Properties
Its formation energy is -5.888 eV/f.u.


Entry 7:
A geometry-optimized NaSn2Se4 structure, computed with GGA-PBE.

a = 8.8060 Å, b = 8.8060 Å, c = 10.0038 Å
α = 90.00°, β = 90.00°, γ = 90.00°
Space group I4_1/amd (No. 141, origin choice 2)
One atom of each set of equivalent atoms:
1 Na 0.0000 0.2500 0.3750 (multiplicity 4)
2 Sn 0.0000 0.0000 0.0000 (multiplicity 8)
3 Se 0.0000 0.0469 0.7253 (multiplicity 16)

## Properties
The value obtained for the uncorrected formation energy is -0.489 eV/atom. As for the relative energy among the computed polymorphs: 18 meV/atom.


Entry 8:
A geometry-optimized Ac6Ag3Rh2 structure, computed with GGA-PBE.

a = 5.5881 Å, b = 5.5881 Å, c = 23.4030 Å
α = 90.00°, β = 90.00°, γ = 90.00°
Space group I4/mmm (No. 139)
One atom of each set of equivalent atoms:
1 Ac 0.0000 0.0000 0.2069 (multiplicity 4)
2 Ac 0.0000 0.5000 0.0858 (multiplicity 8)
3 Ag 0.0000 0.0000 0.3377 (multiplicity 4)
4 Ag 0.0000 0.0000 0.5000 (multiplicity 2)
5 Rh 0.0000 0.0000 0.0606 (multiplicity 4)

## Properties
Its formation energy is -3.020 eV/f.u.


Entry 9:
A geometry-optimized Ti2CdSbN structure, computed with GGA-PBE.

a = 4.1444 Å, b = 4.1444 Å, c = 5.0472 Å
α = 90.00°, β = 90.00°, γ = 90.00°
Space group P4/mmm (No. 123)
One atom of each set of equivalent atoms:
1 Ti 0.0000 0.5000 0.0000 (multiplicity 2)
2 Cd 0.0000 0.0000 0.5000 (multiplicity 1)
3 Sb 0.5000 0.5000 0.5000 (multiplicity 1)
4 N 0.5000 0.5000 0.0000 (multiplicity 1)

## Properties
The value obtained for the uncorrected formation energy is -0.264 eV/atom.


Entry 10:
A geometry-optimized Ba3Mg7Zn4 structure, computed with GGA-PBE.

a = 17.9241 Å, b = 4.9756 Å, c = 10.2364 Å
α = 90.00°, β = 122.92°, γ = 90.00°
Space group C2/m (No. 12)
One atom of each set of equivalent atoms:
1 Ba 0.0000 0.0000 0.0000 (multiplicity 2)
2 Ba 0.1987 0.5000 0.7018 (multiplicity 4)
3 Mg 0.0000 0.0000 0.5000 (multiplicity 2)
4 Mg 0.0040 0.5000 0.3055 (multiplicity 4)
5 Mg 0.1517 0.0000 0.4254 (multiplicity 4)
6 Mg 0.1741 0.5000 0.0199 (multiplicity 4)
7 Zn 0.1245 0.0000 0.8329 (multiplicity 4)
8 Zn 0.1628 0.5000 0.2979 (multiplicity 4)

## Properties
Its formation energy is -1.525 eV/f.u.


Entry 11:
A geometry-optimized LiCu2Pd4 structure, computed with GGA-PBE.

a = 6.4050 Å, b = 6.4103 Å, c = 6.4214 Å
α = 115.12°, β = 114.42°, γ = 99.14°
Space group P1 (No. 1)
One atom of each set of equivalent atoms:
1 Li 0.0000 0.0000 0.0000 (multiplicity 1)
2 Li 0.0964 0.5979 0.5009 (multiplicity 1)
3 Cu 0.2251 0.3253 0.6819 (multiplicity 1)
4 Cu 0.4274 0.7666 0.0867 (multiplicity 1)
5 Cu 0.6429 0.5460 0.3202 (multiplicity 1)
6 Cu 0.6794 0.3450 0.9157 (multiplicity 1)
7 Pd 0.1813 0.4450 0.1391 (multiplicity 1)
8 Pd 0.3064 0.0445 0.8619 (multiplicity 1)
9 Pd 0.4293 0.1996 0.4000 (multiplicity 1)
10 Pd 0.5478 0.7130 0.7254 (multiplicity 1)
11 Pd 0.7841 0.1672 0.2371 (multiplicity 1)
12 Pd 0.7984 0.0316 0.6016 (multiplicity 1)
13 Pd 0.9290 0.5481 0.7640 (multiplicity 1)
14 Pd 0.9885 0.8254 0.2772 (multiplicity 1)

## Properties
Its formation energy is -0.679 eV/f.u. As for the relative energy among the computed polymorphs: 0 meV/atom.


Entry 12:
A geometry-optimized LaHS structure, computed with GGA-PBE.

a = 4.4428 Å, b = 4.4428 Å, c = 12.8799 Å
α = 90.00°, β = 90.00°, γ = 90.00°
Space group I4/mmm (No. 139)
One atom of each set of equivalent atoms:
1 La 0.0000 0.0000 0.1401 (multiplicity 4)
2 H 0.0000 0.5000 0.2500 (multiplicity 4)
3 S 0.0000 0.5000 0.0000 (multiplicity 4)

## Properties
The calculation puts the energy at -5.226 eV per atom.


Entry 13:
A geometry-optimized Sb2HBrN structure, computed with GGA-PBE.

a = 4.6372 Å, b = 4.6372 Å, c = 5.0788 Å
α = 90.00°, β = 90.00°, γ = 90.00°
Space group P4/mmm (No. 123)
One atom of each set of equivalent atoms:
1 Sb 0.0000 0.5000 0.0000 (multiplicity 2)
2 H 0.0000 0.0000 0.5000 (multiplicity 1)
3 Br 0.5000 0.5000 0.5000 (multiplicity 1)
4 N 0.5000 0.5000 0.0000 (multiplicity 1)

## Properties
The calculation puts the energy at -3.154 eV per atom.


Entry 14:
A geometry-optimized Hf2ScAs4 structure, computed with GGA-PBE.

a = 3.7594 Å, b = 12.5448 Å, c = 12.9763 Å
α = 90.00°, β = 90.00°, γ = 90.00°
Space group Cmcm (No. 63)
One atom of each set of equivalent atoms:
1 Hf 0.0000 0.1357 0.0643 (multiplicity 8)
2 Sc 0.0000 0.3832 0.2500 (multiplicity 4)
3 As 0.0000 0.0457 0.2500 (multiplicity 4)
4 As 0.0000 0.2272 0.6285 (multiplicity 8)
5 As 0.0000 0.5000 0.0000 (multiplicity 4)

## Properties
Its formation energy is -5.695 eV/f.u.


Entry 15:
A geometry-optimized YTlCrMo2 structure, computed with GGA-PBE.

a = 4.5333 Å, b = 4.5333 Å, c = 5.2386 Å
α = 90.00°, β = 90.00°, γ = 90.00°
Space group P4/mmm (No. 123)
One atom of each set of equivalent atoms:
1 Y 0.0000 0.0000 0.0000 (multiplicity 1)
2 Tl 0.5000 0.5000 0.0000 (multiplicity 1)
3 Cr 0.0000 0.0000 0.5000 (multiplicity 1)
4 Mo 0.0000 0.5000 0.5000 (multiplicity 2)

## Properties
Its formation energy is 4.365 eV/f.u.


Entry 16:
A geometry-optimized Cs2Te2Br structure, computed with GGA-PBE.

a = 4.5208 Å, b = 4.5208 Å, c = 21.0853 Å
α = 90.00°, β = 90.00°, γ = 90.00°
Space group I4/mmm (No. 139)
One atom of each set of equivalent atoms:
1 Cs 0.0000 0.0000 0.0989 (multiplicity 4)
2 Te 0.0000 0.5000 0.2500 (multiplicity 4)
3 Br 0.0000 0.0000 0.5000 (multiplicity 2)

## Properties
The value obtained for the uncorrected formation energy is -1.081 eV/atom. As for the relative energy among the computed polymorphs: 0 meV/atom.


Entry 17:
A geometry-optimized TiBe5V structure, computed with GGA-PBE.

a = 7.0676 Å, b = 4.4071 Å, c = 9.0353 Å
α = 90.00°, β = 90.00°, γ = 90.00°
Space group Pnma (No. 62)
One atom of each set of equivalent atoms:
1 Ti 0.2455 0.2500 0.0630 (multiplicity 4)
2 Be 0.0639 0.7500 0.1183 (multiplicity 4)
3 Be 0.0745 0.0053 0.3205 (multiplicity 8)
4 Be 0.0947 0.2500 0.5183 (multiplicity 4)
5 Be 0.1792 0.2500 0.7480 (multiplicity 4)
6 V 0.1169 0.7500 0.8694 (multiplicity 4)

## Properties
Its formation energy is -0.935 eV/f.u.


Entry 18:
A geometry-optimized CdTe2Pb structure, computed with GGA-PBE.

a = 7.7667 Å, b = 4.4820 Å, c = 7.7520 Å
α = 90.00°, β = 109.60°, γ = 90.00°
Space group C2/m (No. 12)
One atom of each set of equivalent atoms:
1 Cd 0.0000 0.0000 0.0000 (multiplicity 2)
2 Te 0.2424 0.5000 0.2284 (multiplicity 4)
3 Pb 0.0000 0.5000 0.5000 (multiplicity 2)

## Properties
The value obtained for the uncorrected formation energy is -0.340 eV/atom.


Entry 19:
A geometry-optimized Cs2VCr3Cl12 structure, computed with GGA-PBE.

a = 8.9891 Å, b = 8.9891 Å, c = 21.7012 Å
α = 90.00°, β = 90.00°, γ = 120.00°
Space group R-3m (No. 166, hexagonal axes)
One atom of each set of equivalent atoms:
1 Cs 0.0000 0.0000 0.1234 (multiplicity 6)
2 V 0.0000 0.0000 0.5000 (multiplicity 3)
3 Cr 0.0000 0.5000 0.0000 (multiplicity 9)
4 Cl 0.0665 0.5333 0.1081 (multiplicity 18)
5 Cl 0.0710 0.5355 0.3569 (multiplicity 18)

## Properties
The value obtained for the uncorrected formation energy is -1.298 eV/atom.


Entry 20:
A geometry-optimized CaCuRe2 structure, computed with GGA-PBE.

a = 2.7097 Å, b = 4.9724 Å, c = 4.9910 Å
α = 90.00°, β = 96.26°, γ = 90.00°
Space group P2/m (No. 10)
One atom of each set of equivalent atoms:
1 Ca 0.0000 0.0000 0.0000 (multiplicity 1)
2 Cu 0.5000 0.0000 0.5000 (multiplicity 1)
3 Re 0.3271 0.5000 0.7518 (multiplicity 2)

## Properties
Its formation energy is 2.259 eV/f.u. As for the relative energy among the computed polymorphs: 281 meV/atom.


Entry 21:
A geometry-optimized NiHgPt structure, computed with GGA-PBE.

a = 6.1496 Å, b = 6.1496 Å, c = 6.1496 Å
α = 90.00°, β = 90.00°, γ = 90.00°
Space group F-43m (No. 216)
One atom of each set of equivalent atoms:
1 Ni 0.0000 0.0000 0.0000 (multiplicity 4)
2 Hg 0.0000 0.0000 0.5000 (multiplicity 4)
3 Pt 0.2500 0.2500 0.7500 (multiplicity 4)

## Properties
Its formation energy is 1.137 eV/f.u. As for the relative energy among the computed polymorphs: 291 meV/atom.


Entry 22:
A geometry-optimized GdYTcHg structure, computed with GGA-PBE.

a = 7.1647 Å, b = 7.1647 Å, c = 7.1647 Å
α = 90.00°, β = 90.00°, γ = 90.00°
Space group F-43m (No. 216)
One atom of each set of equivalent atoms:
1 Gd 0.0000 0.0000 0.0000 (multiplicity 4)
2 Y 0.0000 0.0000 0.5000 (multiplicity 4)
3 Tc 0.2500 0.2500 0.2500 (multiplicity 4)
4 Hg 0.2500 0.2500 0.7500 (multiplicity 4)

## Properties
Its formation energy is -0.540 eV/f.u.


no.,theoretical density (g/cm³),calculated volume (Å³/cell)
1,5.9,354
2,6.9,285
3,6.6,2634
4,8.3,151
5,8.9,117
6,10.5,214
7,4.9,776
8,8.6,731
9,6.6,87
10,3.7,766
11,9.4,199
12,4.5,254
13,5.1,109
14,7.6,612
15,8.3,108
16,4.6,431
17,3.4,281
18,7.5,254
19,2.9,1519
20,11.8,67
21,13.0,233
22,9.8,368